No. 1
A geometry-optimized In2AgSe structure. Source: Alexandria via LeMat-Bulk, functional PBE-GGA.

Cell and atoms, written as CIF:
```
data_In2AgSe
_chemical_formula_sum 'In2 Ag1 Se1'
_cell_length_a 4.2135
_cell_length_b 3.9265
_cell_length_c 6.2955
_cell_angle_alpha 90.00
_cell_angle_beta 109.06
_cell_angle_gamma 90.00
_space_group_name_H-M_alt 'P 1 m 1'
_space_group_IT_number 6
loop_
_space_group_symop_operation_xyz
'x,y,z'
'x,-y,z'
loop_
_atom_site_label
_atom_site_type_symbol
_atom_site_fract_x
_atom_site_fract_y
_atom_site_fract_z
In1 In 0.0000 0.0000 0.0000
In2 In 0.3130 0.5000 0.6183
Ag1 Ag 0.5490 0.5000 0.1023
Se1 Se 0.7480 0.0000 0.4854
```

Output
- Formation energy without anion corrections: -0.125 eV/atom
- Theoretical density: 7.02 g cm⁻³
- E: -0.226 Ry per atom


No. 2
A geometry-optimized Pr4Ho3Er5 structure. Source: Alexandria via LeMat-Bulk, functional PBE-GGA.

Cell and atoms, written as CIF:
```
data_Pr4Ho3Er5
_chemical_formula_sum 'Pr8 Ho6 Er10'
_cell_length_a 16.1155
_cell_length_b 5.9372
_cell_length_c 9.4252
_cell_angle_alpha 90.00
_cell_angle_beta 117.19
_cell_angle_gamma 90.00
_space_group_name_H-M_alt 'C 1 2/m 1'
_space_group_IT_number 12
loop_
_space_group_symop_operation_xyz
'x,y,z'
'-x,-y,-z'
'-x,y,-z'
'x,-y,z'
'x+1/2,y+1/2,z'
'-x+1/2,-y+1/2,-z'
'-x+1/2,y+1/2,-z'
'x+1/2,-y+1/2,z'
loop_
_atom_site_label
_atom_site_type_symbol
_atom_site_fract_x
_atom_site_fract_y
_atom_site_fract_z
Pr1 Pr 0.0863 0.0000 0.4491
Pr2 Pr 0.2167 0.0000 0.8840
Ho1 Ho 0.0000 0.5000 0.0000
Ho2 Ho 0.2152 0.0000 0.2410
Er1 Er 0.0000 0.0000 0.0000
Er2 Er 0.0689 0.5000 0.7035
Er3 Er 0.1695 0.5000 0.3787
```

Output
- Theoretical density: 7.84 g cm⁻³
- ΔE_f: 230 meV per atom
- E: -0.324 Ry per atom


No. 3
A geometry-optimized SrLa3 structure. Source: Alexandria via LeMat-Bulk, functional PBE-GGA.

Cell and atoms, written as CIF:
```
data_SrLa3
_chemical_formula_sum 'Sr1 La3'
_cell_length_a 6.3220
_cell_length_b 6.3220
_cell_length_c 4.0587
_cell_angle_alpha 90.00
_cell_angle_beta 90.00
_cell_angle_gamma 90.00
_space_group_name_H-M_alt 'P 4/m m m'
_space_group_IT_number 123
_space_group_name_Hall '-P 4 2'
loop_
_atom_site_label
_atom_site_type_symbol
_atom_site_fract_x
_atom_site_fract_y
_atom_site_fract_z
Sr1 Sr 0.0000 0.0000 0.0000
La1 La 0.0000 0.5000 0.5000
La2 La 0.5000 0.5000 0.0000
```

Output
- Theoretical density: 5.16 g cm⁻³
- ΔE_f: 188 meV per atom
- E: -0.289 Ry per atom


No. 4
A geometry-optimized NdCr2C2 structure. Source: Alexandria via LeMat-Bulk, functional PBE-GGA.

Cell and atoms, written as CIF:
```
data_NdCr2C2
_chemical_formula_sum 'Nd2 Cr4 C4'
_cell_length_a 3.4438
_cell_length_b 3.4438
_cell_length_c 10.8036
_cell_angle_alpha 90.00
_cell_angle_beta 90.00
_cell_angle_gamma 90.00
_space_group_name_H-M_alt 'I 4/m m m'
_space_group_IT_number 139
_space_group_name_Hall '-I 4 2'
loop_
_atom_site_label
_atom_site_type_symbol
_atom_site_fract_x
_atom_site_fract_y
_atom_site_fract_z
Nd1 Nd 0.0000 0.0000 0.0000
Cr1 Cr 0.0000 0.5000 0.2500
C1 C 0.0000 0.0000 0.3474
```

Output
- Theoretical density: 7.06 g cm⁻³
- ΔE_f: -103 meV per atom
- Energy above the most stable polymorph in this dataset: 22 meV per atom
- E: -0.632 Ry per atom